First-principles (GGA-PBE) data for Tb2PaBr after structural relaxation, as listed in Alexandria.

Output
**Total magnetization**: 0.0 μB per cell
**E_form (uncorrected)**: -129.4 meV per atom

```
data_Tb2PaBr
_cell_length_a 3.3407
_cell_length_b 3.3407
_cell_length_c 33.9776
_cell_angle_alpha 90.00
_cell_angle_beta 90.00
_cell_angle_gamma 120.00
_space_group_name_H-M_alt 'R -3 m'
_space_group_IT_number 166
_space_group_name_Hall '-R 3 2"'
loop_
_atom_site_label
_atom_site_fract_x
_atom_site_fract_y
_atom_site_fract_z
_atom_site_occupancy
Tb1 0.0000 0.0000 0.0961 1
Pa1 0.0000 0.0000 0.0000 1
Br1 0.0000 0.0000 0.5000 1
```